1.
## CsSb3Br (PBE-GGA)

Data for a relaxed structure of CsSb3Br.

The uncorrected formation energy comes out at 230 kJ/mol of formula units. The calculation puts the total energy at -12.5 eV per cell. For the energy above the most stable polymorph in this dataset, the calculation gives 0.0000 eV per atom.

The space group is Pm-3m (No. 221) and the conventional cell measures 5.812, 5.812 and 5.812 Å, with angles of 90.00, 90.00 and 90.00 degrees. Symmetry generates all atoms from Cs at (0.000, 0.000, 0.000), Sb at (0.000, 0.500, 0.500) and Br at (0.500, 0.500, 0.500).

2.
## CsSb2Br8 (PBE-GGA)

Data for a relaxed structure of CsSb2Br8.

The uncorrected formation energy comes out at -706 kJ/mol of formula units. The calculation puts the total energy at -29.8 eV per cell.

The space group is P-3m1 (No. 164) and the conventional cell measures 10.3476, 10.3476 and 5.5918 Å, with angles of 90.00, 90.00 and 120.00 degrees. Symmetry generates all atoms from Cs at (0.0000, 0.0000, 0.0000), Sb at (0.3333, 0.6667, 0.7077), Br at (0.1859, 0.3718, 0.7034) and Br at (0.3333, 0.6667, 0.2139).

3.
## Cs3SbBr8 (PBE-GGA)

Data for a relaxed structure of Cs3SbBr8.

The uncorrected formation energy comes out at -1254 kJ/mol of formula units. The calculation puts the total energy at -66.1 eV per cell. For the energy above the most stable polymorph in this dataset, the calculation gives 0.0000 eV per atom.

The space group is P6_3mc (No. 186) and the conventional cell measures 10.7309, 10.7309 and 10.3087 Å, with angles of 90.00, 90.00 and 120.00 degrees. Symmetry generates all atoms from Cs at (0.1516, 0.3032, 0.0000), Sb at (0.3333, 0.6667, 0.4729), Br at (0.0000, 0.0000, 0.2514), Br at (0.0994, 0.5497, 0.3329), Br at (0.2173, 0.4346, 0.6224) and Br at (0.3333, 0.6667, 0.9697).

4.
## Cs3SbBr (PBE-GGA)

Data for a relaxed structure of Cs3SbBr.

The uncorrected formation energy comes out at -340 kJ/mol of formula units. The calculation puts the total energy at -11.9 eV per cell. For the energy above the most stable polymorph in this dataset, the calculation gives 0.0000 eV per atom.

The space group is Pm-3m (No. 221) and the conventional cell measures 6.772, 6.772 and 6.772 Å, with angles of 90.00, 90.00 and 90.00 degrees. Symmetry generates all atoms from Cs at (0.000, 0.000, 0.500), Sb at (0.500, 0.500, 0.500) and Br at (0.000, 0.000, 0.000).

5.
## Cs8Sb2Br (PBE-GGA)

Data for a relaxed structure of Cs8Sb2Br.

The uncorrected formation energy comes out at -551 kJ/mol of formula units. The calculation puts the total energy at -44.9 eV per cell.

The space group is C2/m (No. 12) and the conventional cell measures 22.402, 6.486 and 9.065 Å, with angles of 90.00, 113.86 and 90.00 degrees. Symmetry generates all atoms from Cs at (0.000, 0.000, 0.217), Cs at (0.141, 0.500, 0.906), Cs at (0.142, 0.500, 0.377), Cs at (0.200, 0.000, 0.700), Sb at (0.183, 0.000, 0.183) and Br at (0.000, 0.500, 0.500).

6.
## Cs4Sb2Br (PBE-GGA)

Data for a relaxed structure of Cs4Sb2Br.

The uncorrected formation energy comes out at -453 kJ/mol of formula units. The calculation puts the total energy at -36.0 eV per cell.

The space group is I4/mmm (No. 139) and the conventional cell measures 7.321, 7.321 and 16.885 Å, with angles of 90.00, 90.00 and 90.00 degrees. Symmetry generates all atoms from Cs at (0.000, 0.000, 0.202), Cs at (0.000, 0.500, 0.000), Sb at (0.000, 0.000, 0.417) and Br at (0.000, 0.000, 0.000).